TiVSnO6 | PBE with a Hubbard U | optimized geometry

Cell lengths 5.105, 5.105, 8.772 Å; angles 90.00, 90.00, 120.00 degrees
Atoms (fractional coordinates):
Ti1 0.333 0.667 0.250
Ti2 0.667 0.333 0.750
V1 0.000 0.000 0.000
V2 0.000 0.000 0.500
Sn1 0.333 0.667 0.750
Sn2 0.667 0.333 0.250
O1 0.019 0.334 0.126
O2 0.019 0.684 0.374
O3 0.316 0.334 0.374
O4 0.316 0.981 0.126
O5 0.334 0.019 0.626
O6 0.334 0.316 0.874
O7 0.666 0.684 0.126
O8 0.666 0.981 0.374
O9 0.684 0.019 0.874
O10 0.684 0.666 0.626
O11 0.981 0.316 0.626
O12 0.981 0.666 0.874

Properties
The value obtained for the raw total energy is -7.49 eV/atom.